DFT (PBE) results for a geometry-optimized ErSbH structure.

Cell lengths 4.219, 7.861, 7.338 Å; angles 90.00, 90.00, 90.00 degrees
Space group Imm2 (No. 44)
Symmetry-distinct sites (fractional):
Er  0.000  0.000  0.000 [2 per cell]
Er  0.000  0.500  0.016 [2 per cell]
Sb  0.000  0.256  0.677 [4 per cell]
H  0.000  0.447  0.339 [4 per cell]

Output
- offset from the most stable computed form (kJ/mol of formula units) = 36.6
- calculated total energy (eV per atom) = -4.60
- calculated volume (Å³/f.u.) = 61